An optimized crystal structure of Tb5Sm4Hg, computed with PBE-GGA.

Unit cell a=3.609 b=3.609 c=24.235 alpha=90.00 beta=90.00 gamma=90.00
Element x y z (fractional)
Tb  0.000  0.000  0.000
Tb  0.000  0.000  0.209
Tb  0.000  0.000  0.418
Tb  0.000  0.000  0.582
Tb  0.000  0.000  0.791
Sm  0.500  0.500  0.104
Sm  0.500  0.500  0.314
Sm  0.500  0.500  0.686
Sm  0.500  0.500  0.896
Hg  0.500  0.500  0.500

Calculated volume, Å³ per atom: 31.57
Calculated formation energy, eV per formula unit: -0.82
Symmetry: P4/mmm, No. 123
Spin magnetization, μB/f.u.: 0.00
Energy, eV per formula unit: -43.15